Below is crystalline Al3SnPt at its relaxed geometry, with properties calculated at the PBE level.

Results
Energy relative to the elements, eV/atom: -0.148
Crystal system: cubic
DFT total energy, eV per atom: -4.403
Relative energy among the computed polymorphs, eV/atom: 0.000
M_tot, μB per formula unit: 0.00

Structure (POSCAR):
```
Al3SnPt
1.0
4.814 0.000 0.000
0.000 4.814 0.000
0.000 0.000 4.814
Al Sn Pt
3 1 1
Direct
0.000 0.000 0.500 Al
0.000 0.500 0.000 Al
0.500 0.000 0.000 Al
0.500 0.500 0.500 Sn
0.000 0.000 0.000 Pt
```

=====

Below is crystalline Tb2Y3TmSb6 at its relaxed geometry, with properties calculated at the PBE level.

Results
Formation energy without anion corrections, eV/atom: -1.143
Crystal system: monoclinic
DFT total energy, eV per atom: -5.964
M_tot, μB per formula unit: 0.00

Structure (POSCAR):
```
Tb2Y3TmSb6
1.0
3.799 -6.580 0.000
3.799 6.580 0.000
-2.531 0.000 7.160
Tb Y Tm Sb
2 3 1 6
Direct
0.166 0.834 0.000 Tb
0.834 0.166 0.000 Tb
0.000 0.000 0.500 Y
0.332 0.668 0.500 Y
0.668 0.332 0.500 Y
0.500 0.500 0.000 Tm
0.086 0.417 0.751 Sb
0.253 0.253 0.250 Sb
0.417 0.086 0.751 Sb
0.583 0.914 0.249 Sb
0.747 0.747 0.750 Sb
0.914 0.583 0.249 Sb
```

=====

Below is crystalline TbY3Er6Th2 at its relaxed geometry, with properties calculated at the PBE level.

Results
Energy relative to the elements, eV/atom: 0.026
Crystal system: monoclinic
DFT total energy, eV per atom: -5.494
M_tot, μB per formula unit: 0.00

Structure (POSCAR):
```
TbY3Er6Th2
1.0
3.073 -5.318 0.000
3.073 5.318 0.000
-2.049 0.000 11.529
Tb Y Er Th
1 3 6 2
Direct
0.000 0.000 0.000 Tb
0.166 0.834 0.500 Y
0.500 0.500 0.500 Y
0.834 0.166 0.500 Y
0.083 0.420 0.247 Er
0.255 0.255 0.753 Er
0.420 0.083 0.247 Er
0.580 0.917 0.753 Er
0.745 0.745 0.247 Er
0.917 0.580 0.753 Er
0.333 0.667 0.000 Th
0.667 0.333 0.000 Th
```

=====

Below is crystalline CuB2H at its relaxed geometry, with properties calculated at the PBE level.

Results
Crystal system: cubic
DFT total energy, eV per atom: -3.856
Relative energy among the computed polymorphs, eV/atom: 0.750
M_tot, μB per formula unit: 0.34

Structure (POSCAR):
```
CuB2H
1.0
0.000 2.434 2.434
2.434 0.000 2.434
2.434 2.434 0.000
Cu B H
1 2 1
Direct
0.000 0.000 0.000 Cu
0.250 0.250 0.250 B
0.750 0.750 0.750 B
0.500 0.500 0.500 H
```